# 1
Entry from Alexandria: a geometry-optimized LaMg9Hg3 structure (PBE-GGA).

Cell: 5.9906 14.1797 7.6833 Å, 90.00 112.32 90.00°
Closest atoms and distances in Å follow each position.
Space group C2/m (No. 12)
One atom of each set of equivalent atoms:
La: 0.0000 0.0000 0.0000 x2  14 Mg 3.51-3.84, 6 Hg 3.85-3.87
Mg: 0.0000 0.0000 0.5000 x2  8 Mg 2.98-3.11, 2 Hg 3.00
Mg: 0.1042 0.3916 0.2130 x8  3 Hg 2.93-2.94, 6 Mg 2.98-3.27
Mg: 0.1742 0.1764 0.3473 x8  6 Mg 3.01-3.31, 3 Hg 3.06-3.11
Hg: 0.0000 0.5000 0.5000 x2  10 Mg 2.94-3.11
Hg: 0.2500 0.2500 0.0000 x4  8 Mg 2.93-3.08, 2 Hg 3.00

Values from the calculation:
Density of states at the Fermi level   0.3980 states/eV per atom
ΔE_f   -0.189 eV/atom
Size of the total moment   0.00 μB per atom
Final energy   -1.742 eV/atom

# 2
Entry from Alexandria: a geometry-optimized La3Mg2Hg4 structure (PBE-GGA).

Cell: 11.4458 5.0971 9.4887 Å, 90.00 119.35 90.00°
Closest atoms and distances in Å follow each position.
Space group C2/m (No. 12)
One atom of each set of equivalent atoms:
La: 0.0000 0.0000 0.0000 x2  8 Hg 3.38-3.58, 4 Mg 3.53, 2 La 3.61
La: 0.1581 0.5000 0.6740 x4  8 Hg 3.37-3.49, 4 Mg 3.41-3.46, 2 La 3.51-3.61
Mg: 0.1270 0.5000 0.2958 x4  3 Hg 2.88-2.90
Hg: 0.0694 0.0000 0.3950 x4  2 Mg 2.90, 1 Hg 3.10
Hg: 0.2127 0.5000 0.0570 x4  1 Mg 2.88, 2 Hg 3.05

Values from the calculation:
Density of states at the Fermi level   0.7650 states/eV per atom
ΔE_f   -0.426 eV/atom
Size of the total moment   0.00 μB per atom
Final energy   -2.557 eV/atom

# 3
Entry from Alexandria: a geometry-optimized LaMgHg2 structure (PBE-GGA).

Cell: 5.2250 5.2250 7.4125 Å, 90.00 90.00 90.00°
Closest atoms and distances in Å follow each position.
Space group I-4m2 (No. 119)
One atom of each set of equivalent atoms:
La: 0.0000 0.0000 0.0000 x2  4 Hg 3.20, 4 Mg 3.20
Mg: 0.0000 0.5000 0.7500 x2  4 Hg 3.20, 4 La 3.20
Hg: 0.0000 0.0000 0.5000 x2  4 Hg 3.20, 4 Mg 3.20
Hg: 0.0000 0.5000 0.2500 x2  4 Hg 3.20, 4 La 3.20

Values from the calculation:
Density of states at the Fermi level   0.5313 states/eV per atom
ΔE_f   -0.301 eV/atom
Size of the total moment   0.00 μB per atom
Final energy   -2.082 eV/atom

# 4
Entry from Alexandria: a geometry-optimized LaMg3Hg2 structure (PBE-GGA).

Cell: 17.4530 4.7277 8.3214 Å, 90.00 118.06 90.00°
Closest atoms and distances in Å follow each position.
Space group C2/m (No. 12)
One atom of each set of equivalent atoms:
La: 0.1390 0.0000 0.0611 x4  7 Hg 3.32-3.60, 5 Mg 3.60-3.71
Mg: 0.0517 0.0000 0.3905 x4  3 Hg 2.82-2.95, 1 Mg 3.11
Mg: 0.1091 0.5000 0.7104 x4  3 Hg 2.78-2.90, 1 Mg 3.04
Mg: 0.1918 0.5000 0.4600 x4  2 Hg 2.78-2.90, 3 Mg 2.98-3.04
Hg: 0.0206 0.5000 0.1852 x4  4 Mg 2.78-2.82, 1 Hg 2.82
Hg: 0.2114 0.0000 0.7441 x4  4 Mg 2.90-2.95

Values from the calculation:
Density of states at the Fermi level   0.7309 states/eV per atom
ΔE_f   -0.303 eV/atom
Size of the total moment   0.00 μB per atom
Final energy   -2.023 eV/atom

# 5
Entry from Alexandria: a geometry-optimized LaMgHg structure (PBE-GGA).

Cell: 3.7394 3.7394 7.2806 Å, 90.00 90.00 120.00°
Closest atoms and distances in Å follow each position.
Space group P3m1 (No. 156)
One atom of each set of equivalent atoms:
La: 0.0000 0.0000 0.0000 x1  3 Hg 3.33, 3 Mg 3.50
Mg: 0.6667 0.3333 0.3788 x1  3 Hg 2.93
Hg: 0.3333 0.6667 0.6512 x1  3 Mg 2.93

Values from the calculation:
Density of states at the Fermi level   0.7902 states/eV per atom
ΔE_f   -0.141 eV/atom
Size of the total moment   0.00 μB per atom
Final energy   -2.416 eV/atom

# 6
Entry from Alexandria: a geometry-optimized LaMg2Hg3 structure (PBE-GGA).

Cell: 11.0130 8.7580 6.2891 Å, 90.00 90.00 90.00°
Closest atoms and distances in Å follow each position.
Space group Cmcm (No. 63)
One atom of each set of equivalent atoms:
La: 0.0000 0.1528 0.2500 x4  3 Hg 3.16-3.50
Mg: 0.2164 0.5000 0.0000 x8  4 Hg 2.81-2.86
Hg: 0.0000 0.4861 0.7500 x4  4 Mg 2.86, 4 Hg 2.97-3.15, 1 La 3.16
Hg: 0.1464 0.2016 0.7500 x8  2 Mg 2.81, 1 Hg 2.97

Values from the calculation:
Density of states at the Fermi level   0.5978 states/eV per atom
ΔE_f   -0.302 eV/atom
Size of the total moment   0.00 μB per atom
Final energy   -1.805 eV/atom